[1]
The following is a PBE-GGA calculation of a relaxed structure of SrCa2PrTe4, from Alexandria.

## Properties
Energy relative to the elements, uncorrected ... -1.594 eV/atom

Cell: 4.5497 7.9157 7.9421 Å, 70.71 90.00 90.00°
With the nearest neighbours (Å) after each atom.
Fractional coordinates of all 8 atoms:
Sr 0.5000 0.5000 0.0000  6 Te 3.29
Te 0.0000 0.2402 0.2579  3 Ca 3.17-3.22, 1 Pr 3.25, 2 Sr 3.29
Te 0.0000 0.7598 0.7421  3 Ca 3.17-3.22, 1 Pr 3.25, 2 Sr 3.29
Te 0.5000 0.7575 0.2513  3 Ca 3.18-3.21, 2 Pr 3.25, 1 Sr 3.29
Te 0.5000 0.2425 0.7487  3 Ca 3.18-3.21, 2 Pr 3.25, 1 Sr 3.29
Ca 0.0000 0.0000 0.0000  6 Te 3.21-3.22
Ca 0.5000 0.0000 0.5000  6 Te 3.17-3.18
Pr 0.0000 0.5000 0.5000  6 Te 3.25

[2]
The following is a PBE-GGA calculation of a relaxed structure of SrCa3Pr2Te6, from Alexandria.

## Properties
Energy relative to the elements, uncorrected ... -1.570 eV/atom

Cell: 4.5172 9.1715 10.2072 Å, 103.40 102.78 90.00°
With the nearest neighbours (Å) after each atom.
Fractional coordinates of all 12 atoms:
Te 0.6705 0.0855 0.3410  3 Ca 3.17-3.20, 2 Pr 3.26, 1 Sr 3.30
Te 0.9992 0.7405 0.9983  3 Ca 3.16-3.22, 2 Sr 3.28, 1 Pr 3.28
Te 0.6642 0.5904 0.3283  3 Ca 3.17-3.18, 3 Pr 3.20-3.23
Te 0.3295 0.9145 0.6590  3 Ca 3.17-3.20, 2 Pr 3.26, 1 Sr 3.30
Te 0.3358 0.4096 0.6717  3 Ca 3.17-3.18, 3 Pr 3.20-3.23
Te 0.0008 0.2595 0.0017  3 Ca 3.16-3.22, 2 Sr 3.28, 1 Pr 3.28
Pr 0.8296 0.6577 0.6593  6 Te 3.20-3.28
Pr 0.1704 0.3423 0.3407  6 Te 3.20-3.28
Ca 0.5000 0.5000 0.0000  6 Te 3.16-3.17
Ca 0.8342 0.1646 0.6685  6 Te 3.17-3.22
Ca 0.1658 0.8354 0.3315  6 Te 3.17-3.22
Sr 0.5000 0.0000 0.0000  6 Te 3.28-3.30

[3]
The following is a PBE-GGA calculation of a relaxed structure of Sr3Ca2PrTe6, from Alexandria.

## Properties
Energy relative to the elements, uncorrected ... -1.642 eV/atom

Cell: 4.6155 9.2928 10.3661 Å, 103.11 102.86 90.00°
With the nearest neighbours (Å) after each atom.
Fractional coordinates of all 12 atoms:
Te 0.9968 0.7542 0.9937  1 Ca 3.23, 2 Pr 3.24, 3 Sr 3.31-3.33
Te 0.0032 0.2458 0.0063  1 Ca 3.23, 2 Pr 3.24, 3 Sr 3.31-3.33
Te 0.3308 0.4246 0.6615  3 Ca 3.21, 3 Sr 3.32-3.33
Te 0.3356 0.9098 0.6713  2 Ca 3.23, 1 Pr 3.23, 3 Sr 3.33-3.34
Te 0.6644 0.0902 0.3287  2 Ca 3.23, 1 Pr 3.23, 3 Sr 3.33-3.34
Te 0.6692 0.5754 0.3385  3 Ca 3.21, 3 Sr 3.32-3.33
Ca 0.8325 0.6652 0.6650  6 Te 3.21-3.23
Ca 0.1675 0.3348 0.3350  6 Te 3.21-3.23
Sr 0.5000 0.5000 0.0000  6 Te 3.31-3.33
Sr 0.1664 0.8314 0.3328  6 Te 3.32-3.34
Sr 0.8336 0.1686 0.6672  6 Te 3.32-3.34
Pr 0.5000 0.0000 0.0000  6 Te 3.23-3.24

[4]
The following is a PBE-GGA calculation of a relaxed structure of SrCaPrTl, from Alexandria.

## Properties
ΔE_f ... -0.0976 eV per atom

Cell: 5.8407 5.8407 5.8407 Å, 60.00 60.00 60.00°
With the nearest neighbours (Å) after each atom.
Fractional coordinates of all 4 atoms:
Pr 0.7500 0.7500 0.7500  4 Tl 3.58, 4 Ca 3.58
Ca 0.5000 0.5000 0.5000  4 Pr 3.58, 4 Sr 3.58
Tl 0.0000 0.0000 0.0000  4 Pr 3.58, 4 Sr 3.58
Sr 0.2500 0.2500 0.2500  4 Tl 3.58, 4 Ca 3.58

[5]
The following is a PBE-GGA calculation of a relaxed structure of SrCa2PrTl4, from Alexandria.

## Properties
ΔE_f ... -0.4219 eV per atom

Cell: 5.5942 5.5942 9.6803 Å, 73.21 73.21 60.00°
With the nearest neighbours (Å) after each atom.
Fractional coordinates of all 8 atoms:
Tl 0.3771 0.3771 0.8687  1 Pr 3.36, 4 Ca 3.40-3.46, 3 Sr 3.44
Tl 0.6229 0.6229 0.1313  1 Pr 3.36, 4 Ca 3.40-3.46, 3 Sr 3.44
Tl 0.1261 0.1261 0.6217  4 Ca 3.41-3.44, 3 Pr 3.42, 1 Sr 3.45
Tl 0.8739 0.8739 0.3783  4 Ca 3.41-3.44, 3 Pr 3.42, 1 Sr 3.45
Sr 0.0000 0.0000 0.0000  8 Tl 3.44-3.45
Ca 0.2505 0.2505 0.2484  8 Tl 3.40-3.46
Ca 0.7495 0.7495 0.7516  8 Tl 3.40-3.46
Pr 0.5000 0.5000 0.5000  8 Tl 3.36-3.42

[6]
The following is a PBE-GGA calculation of a relaxed structure of SrCaPrTm, from Alexandria.

## Properties
ΔE_f ... 0.1775 eV per atom

Cell: 6.0203 6.0203 6.0203 Å, 60.00 60.00 60.00°
With the nearest neighbours (Å) after each atom.
Fractional coordinates of all 4 atoms:
Pr 0.7500 0.7500 0.7500  4 Ca 3.69, 4 Tm 3.69
Sr 0.2500 0.2500 0.2500  4 Tm 3.69, 4 Ca 3.69
Tm 0.0000 0.0000 0.0000  4 Pr 3.69, 4 Sr 3.69
Ca 0.5000 0.5000 0.5000  4 Sr 3.69, 4 Pr 3.69

[7]
The following is a PBE-GGA calculation of a relaxed structure of CaPr2Ta, from Alexandria.

## Properties
ΔE_f ... 0.7330 eV per atom

Cell: 3.3383 3.3383 12.6920 Å, 82.44 82.44 60.00°
With the nearest neighbours (Å) after each atom.
Fractional coordinates of all 4 atoms:
Pr 0.0786 0.0786 0.7641  1 Ta 2.96
Pr 0.9214 0.9214 0.2359  1 Ta 2.96
Ca 0.5000 0.5000 0.5000  6 Ca 3.34
Ta 0.0000 0.0000 0.0000  2 Pr 2.96

[8]
The following is a PBE-GGA calculation of a relaxed structure of CaTb4Pr4, from Alexandria.

## Properties
ΔE_f ... 0.0570 eV per atom

Cell: 9.1999 10.7718 12.1304 Å, 107.05 58.46 141.31°
With the nearest neighbours (Å) after each atom.
Fractional coordinates of all 18 atoms:
Pr 0.5068 0.8314 0.7543  5 Tb 3.42-3.70, 5 Pr 3.50-3.75, 1 Ca 3.56
Pr 0.8769 0.6287 0.8920  3 Pr 3.53-3.91, 2 Ca 3.56-3.70, 5 Tb 3.60-3.85
Pr 0.8367 0.2775 0.8991  5 Pr 3.50-3.87, 5 Tb 3.66-3.89, 1 Ca 3.82
Pr 0.1231 0.3713 0.1080  3 Pr 3.53-3.91, 2 Ca 3.56-3.70, 5 Tb 3.60-3.85
Pr 0.1993 0.9039 0.5519  7 Tb 3.45-3.62, 1 Ca 3.52, 2 Pr 3.58-3.59
Pr 0.4932 0.1686 0.2457  5 Tb 3.42-3.70, 5 Pr 3.50-3.75, 1 Ca 3.56
Pr 0.1633 0.7225 0.1009  5 Pr 3.50-3.87, 5 Tb 3.66-3.89, 1 Ca 3.82
Pr 0.8007 0.0961 0.4481  7 Tb 3.45-3.62, 1 Ca 3.52, 2 Pr 3.58-3.59
Tb 0.8117 0.7742 0.4340  4 Pr 3.42-3.64, 2 Ca 3.46-3.76, 4 Tb 3.63-3.67
Tb 0.1784 0.5604 0.5686  5 Tb 3.43-3.67, 6 Pr 3.50-3.78, 1 Ca 3.73
Tb 0.8502 0.9502 0.9098  3 Tb 3.44-3.72, 4 Pr 3.60-3.85, 2 Ca 3.70-3.75
Tb 0.8216 0.4396 0.4314  5 Tb 3.43-3.67, 6 Pr 3.50-3.78, 1 Ca 3.73
Tb 0.1883 0.2258 0.5660  4 Pr 3.42-3.64, 2 Ca 3.46-3.76, 4 Tb 3.63-3.67
Tb 0.4939 0.1645 0.7490  4 Tb 3.43-3.66, 6 Pr 3.45-3.77, 1 Ca 3.52
Tb 0.5061 0.8355 0.2510  4 Tb 3.43-3.66, 6 Pr 3.45-3.77, 1 Ca 3.52
Tb 0.1498 0.0498 0.0902  3 Tb 3.44-3.72, 4 Pr 3.60-3.85, 2 Ca 3.70-3.75
Ca 0.4997 0.4970 0.7561  6 Tb 3.46-3.76, 5 Pr 3.52-3.82
Ca 0.5003 0.5030 0.2439  6 Tb 3.46-3.76, 5 Pr 3.52-3.82

[9]
The following is a PBE-GGA calculation of a relaxed structure of CaTbPr3, from Alexandria.

## Properties
ΔE_f ... 0.1520 eV per atom

Cell: 6.3807 6.3807 11.5020 Å, 89.99 89.99 128.00°
With the nearest neighbours (Å) after each atom.
Fractional coordinates of all 10 atoms:
Ca 0.3440 0.6560 0.5000  3 Ca 3.53-3.58, 2 Pr 3.54
Ca 0.6560 0.3440 0.5000  3 Ca 3.53-3.58, 2 Pr 3.54
Tb 0.1392 0.8608 0.0000  1 Tb 3.19, 6 Pr 3.25-3.57
Tb 0.8608 0.1392 0.0000  1 Tb 3.19, 6 Pr 3.25-3.57
Pr 0.6526 0.3473 0.1923  3 Tb 3.25-3.57, 5 Pr 3.50-3.58, 1 Ca 3.54
Pr 0.9999 0.9999 0.3105  4 Pr 3.57, 2 Tb 3.91, 4 Ca 3.97
Pr 0.0001 0.0001 0.6895  4 Pr 3.57, 2 Tb 3.91, 4 Ca 3.97
Pr 0.3474 0.6527 0.8077  3 Tb 3.25-3.57, 5 Pr 3.50-3.58, 1 Ca 3.54
Pr 0.3473 0.6526 0.1923  3 Tb 3.25-3.57, 5 Pr 3.50-3.58, 1 Ca 3.54
Pr 0.6527 0.3474 0.8077  3 Tb 3.25-3.57, 5 Pr 3.50-3.58, 1 Ca 3.54

[10]
The following is a PBE-GGA calculation of a relaxed structure of CaTb4Pr6, from Alexandria.

## Properties
ΔE_f ... 0.3138 eV per atom

Cell: 10.1284 10.1284 10.1284 Å, 55.22 141.74 141.74°
With the nearest neighbours (Å) after each atom.
Fractional coordinates of all 11 atoms:
Ca 0.0000 0.0000 0.0000  4 Pr 3.32, 4 Tb 3.63
Tb 0.6309 0.9934 0.9934  5 Pr 3.35-3.59, 1 Tb 3.47, 1 Ca 3.63
Tb 0.0000 0.6375 0.0066  5 Pr 3.35-3.59, 1 Tb 3.47, 1 Ca 3.63
Tb 0.0000 0.0066 0.6375  5 Pr 3.35-3.59, 1 Tb 3.47, 1 Ca 3.63
Tb 0.3691 0.3625 0.3625  5 Pr 3.35-3.59, 1 Tb 3.47, 1 Ca 3.63
Pr 0.6497 0.1892 0.1892  3 Pr 3.29-3.45, 5 Tb 3.35-3.59
Pr 0.5000 0.0000 0.5000  2 Ca 3.32, 4 Pr 3.45
Pr 0.5000 0.5000 0.0000  2 Ca 3.32, 4 Pr 3.45
Pr 0.3503 0.5395 0.5395  3 Pr 3.29-3.45, 5 Tb 3.35-3.59
Pr 0.0000 0.8108 0.4605  3 Pr 3.29-3.45, 5 Tb 3.35-3.59
Pr 0.0000 0.4605 0.8108  3 Pr 3.29-3.45, 5 Tb 3.35-3.59

[11]
The following is a PBE-GGA calculation of a relaxed structure of CaTbPr2, from Alexandria.

## Properties
ΔE_f ... 0.0219 eV per atom
ΔE to the lowest computed polymorph ... 0 meV/atom

Cell: 3.6985 3.6985 12.2051 Å, 90.00 90.00 119.95°
With the nearest neighbours (Å) after each atom.
Fractional coordinates of all 4 atoms:
Pr 0.4663 0.5337 0.2634  3 Tb 3.59, 6 Pr 3.70, 3 Ca 3.86
Pr 0.4663 0.5337 0.7366  3 Tb 3.59, 6 Pr 3.70, 3 Ca 3.86
Tb 0.1323 0.8677 0.5000  6 Pr 3.59, 6 Tb 3.70
Ca 0.8011 0.1989 0.0000  6 Ca 3.70, 6 Pr 3.86

[12]
The following is a PBE-GGA calculation of a relaxed structure of CaTb5Pr8, from Alexandria.

## Properties
ΔE_f ... 0.2331 eV per atom

Cell: 8.7099 8.7099 8.7099 Å, 111.08 106.29 111.08°
With the nearest neighbours (Å) after each atom.
Fractional coordinates of all 14 atoms:
Tb 0.8180 0.6875 0.7240  8 Pr 3.42-3.69, 2 Tb 3.56
Tb 0.2760 0.0940 0.9635  8 Pr 3.42-3.69, 2 Tb 3.56
Tb 0.5000 0.0000 0.5000  8 Pr 3.23-3.44
Tb 0.0365 0.3125 0.1305  8 Pr 3.42-3.69, 2 Tb 3.56
Tb 0.8695 0.9060 0.1820  8 Pr 3.42-3.69, 2 Tb 3.56
Pr 0.7270 0.2545 0.3302  5 Tb 3.44-3.69, 3 Pr 3.68-3.71
Pr 0.3442 0.2648 0.4262  4 Tb 3.23-3.54, 1 Ca 3.34
Pr 0.9206 0.0820 0.6558  4 Tb 3.23-3.54, 1 Ca 3.34
Pr 0.6698 0.3968 0.9243  5 Tb 3.44-3.69, 3 Pr 3.68-3.71
Pr 0.5738 0.9180 0.8385  4 Tb 3.23-3.54, 1 Ca 3.34
Pr 0.0757 0.7455 0.4725  5 Tb 3.44-3.69, 3 Pr 3.68-3.71
Pr 0.5275 0.6032 0.2730  5 Tb 3.44-3.69, 3 Pr 3.68-3.71
Pr 0.1615 0.7352 0.0794  4 Tb 3.23-3.54, 1 Ca 3.34
Ca 0.2500 0.5000 0.7500  4 Pr 3.34